Record 1
The following is a DFT calculation (meta-GGA SCAN) of a crystal of Sc2InW relaxed with PBEsol. Values from VASP.

volume	77	Å³/cell
formation energy	0.05	eV/atom
final energy	-131.34	eV for the cell shown
magnetic moment	0.0	μB per cell
DOS(E_F)	0.854	states/eV/atom

Structure (Quantum ESPRESSO input):
```
&SYSTEM
  ibrav = 0, nat = 4, ntyp = 3
/
ATOMIC_SPECIES
In 114.82 In.upf
Sc 44.96 Sc.upf
W 183.84 W.upf
ATOMIC_POSITIONS crystal
In 0.500 0.000 0.000
Sc 0.000 0.000 0.500
Sc 0.000 0.500 0.000
W 0.500 0.500 0.500
CELL_PARAMETERS angstrom
-2.853 0.210 0.684
-0.962 -4.435 -2.650
1.101 -1.263 4.981
```

***

Record 2
The following is a DFT calculation (meta-GGA SCAN) of a crystal of Ti2Be2Os relaxed with PBEsol. Values from VASP.

volume	121	Å³/cell
formation energy	-0.46	eV/atom
final energy	-229.93	eV for the cell shown
magnetic moment	0.0	μB per cell
DOS(E_F)	0.678	states/eV/atom

Structure (Quantum ESPRESSO input):
```
&SYSTEM
  ibrav = 0, nat = 10, ntyp = 3
/
ATOMIC_SPECIES
Be 9.01 Be.upf
Os 190.23 Os.upf
Ti 47.87 Ti.upf
ATOMIC_POSITIONS crystal
Be 0.000 0.381 0.881
Be 0.000 0.881 0.619
Be 0.000 0.619 0.119
Be 0.000 0.119 0.381
Os 0.000 0.000 0.000
Os 0.000 0.500 0.500
Ti 0.500 0.180 0.680
Ti 0.500 0.680 0.820
Ti 0.500 0.820 0.320
Ti 0.500 0.320 0.180
CELL_PARAMETERS angstrom
3.158 0.000 0.000
0.000 6.200 0.000
0.000 0.000 6.200
```

***

Record 3
The following is a DFT calculation (meta-GGA SCAN) of a crystal of LaTa2Se relaxed with PBEsol. Values from VASP.

volume	89	Å³/cell
E_form (uncorrected)	-0.032	eV/atom
final energy	-196.48	eV for the cell shown
magnetic moment	0.3	μB per cell
DOS(E_F)	1.019	states/eV/atom

Structure (Quantum ESPRESSO input):
```
&SYSTEM
  ibrav = 0, nat = 4, ntyp = 3
/
ATOMIC_SPECIES
La 138.91 La.upf
Se 78.96 Se.upf
Ta 180.95 Ta.upf
ATOMIC_POSITIONS crystal
La 0.514 0.029 0.514
Se 0.263 0.526 0.823
Ta 0.990 0.979 0.002
Ta 0.733 0.466 0.161
CELL_PARAMETERS angstrom
-1.760 2.735 0.516
-1.775 -3.606 2.552
4.277 2.008 3.947
```